1.
A relaxed Y2PbBr crystal, computed with GGA-PBEsol.

```
data_Y2PbBr
_chemical_formula_sum 'Y2 Pb1 Br1'
_cell_length_a 5.2616
_cell_length_b 5.2616
_cell_length_c 5.2616
_cell_angle_alpha 60.00
_cell_angle_beta 60.00
_cell_angle_gamma 60.00
_symmetry_space_group_name_H-M 'P 1'
_symmetry_Int_Tables_number 1
_symmetry_space_group_name_Hall 'P 1'
loop_
_atom_site_label
_atom_site_fract_x
_atom_site_fract_y
_atom_site_fract_z
Pb1 0.0000 0.0000 0.0000
Y1 0.7500 0.7500 0.7500
Y2 0.2500 0.2500 0.2500
Br1 0.5000 0.5000 0.5000
```

Output
formation energy from raw total energies	-3.09	eV per formula unit
excess energy over the best structure of this formula in the dataset	0.00	eV/f.u.
E	-5.651	eV per atom

---

2.
A relaxed Sc4TlZn crystal, computed with GGA-PBEsol.

```
data_Sc4TlZn
_chemical_formula_sum 'Sc4 Tl1 Zn1'
_cell_length_a 5.7197
_cell_length_b 5.7197
_cell_length_c 5.7197
_cell_angle_alpha 60.00
_cell_angle_beta 60.00
_cell_angle_gamma 60.00
_symmetry_space_group_name_H-M 'P 1'
_symmetry_Int_Tables_number 1
_symmetry_space_group_name_Hall 'P 1'
loop_
_atom_site_label
_atom_site_fract_x
_atom_site_fract_y
_atom_site_fract_z
Sc1 0.3750 0.3750 0.3750
Sc2 0.3750 0.3750 0.8751
Sc3 0.8751 0.3750 0.3750
Sc4 0.3750 0.8751 0.3750
Tl1 0.7500 0.7500 0.7500
Zn1 0.0000 0.0000 0.0000
```

Output
E_form	0.250	eV/atom
E	-4.855	eV per atom

---

3.
A relaxed Rb2PtC crystal, computed with GGA-PBEsol.

```
data_Rb2PtC
_chemical_formula_sum 'Rb4 Pt2 C2'
_cell_length_a 3.8310
_cell_length_b 8.7385
_cell_length_c 8.7385
_cell_angle_alpha 87.25
_cell_angle_beta 77.34
_cell_angle_gamma 77.34
_symmetry_space_group_name_H-M 'P 1'
_symmetry_Int_Tables_number 1
_symmetry_space_group_name_Hall 'P 1'
loop_
_atom_site_label
_atom_site_fract_x
_atom_site_fract_y
_atom_site_fract_z
C1 0.2500 0.5000 0.5000
C2 0.5000 0.0000 0.0000
Rb1 0.3312 0.7938 0.2938
Rb2 0.4188 0.2062 0.7062
Rb3 0.3750 0.2938 0.2062
Rb4 0.8750 0.7062 0.7938
Pt1 0.7500 0.5000 0.5000
Pt2 0.0000 0.0000 0.0000
```

Output
E_form	0.228	eV/atom
E	-4.436	eV per atom